[1]
The following is a PBE-GGA calculation of an optimized crystal structure of PuAl12, from Alexandria.

Properties
Space group ... I4/mmm (139)
Energy of formation ... -61 meV per atom
Calculated volume ... 228.31 Å³ per cell

abc: 5.407 7.038 7.038
angles: 81.52 67.41 67.41
Last column: magnetic moment on the atom in μB.
Atoms (fractional coordinates):
Al: 0.000 0.354 0.646  -0.01
Al: 0.354 0.646 0.646  -0.01
Al: 0.000 0.000 0.500  -0.01
Al: 0.500 0.216 0.784  -0.01
Al: 0.500 0.500 0.000  -0.01
Pu: 0.000 0.000 0.000  5.28
Al: 0.646 0.354 0.354  -0.01
Al: 0.000 0.500 0.000  -0.01
Al: 0.284 0.216 0.216  -0.01
Al: 0.500 0.784 0.216  -0.01
Al: 0.500 0.000 0.500  -0.01
Al: 0.716 0.784 0.784  -0.01
Al: 0.000 0.646 0.354  -0.01

---

[2]
The following is a PBE-GGA calculation of an optimized crystal structure of AsAuCl6, from Alexandria.

Properties
Space group ... P-1 (2)
Formation energy from raw total energies ... -2.87 eV per formula unit
Calculated volume ... 242.76 Å³ per cell

abc: 5.642 8.035 7.608
angles: 51.34 67.86 66.32
Atoms (fractional coordinates):
Cl: 0.351 0.814 0.845
Cl: 0.144 0.365 0.793
Cl: 0.649 0.186 0.155
As: 0.000 0.000 0.000
Cl: 0.208 0.844 0.344
Cl: 0.792 0.156 0.656
Cl: 0.856 0.635 0.207
Au: 0.500 0.500 0.500

---

Question: Which value of calculated volume does entry 2 give?
Answer: 242.76 Å³ per cell

---

Question: Which of these has the highest calculated volume?
Answer: AsAuCl6

---

Question: What is the formula in the second record?
Answer: AsAuCl6

---

Question: Among the records above, which one has the lowest calculated volume?
Answer: PuAl12